Computed, not measured: a geometry-optimized Ca2CuTe structure at the PBE-GGA level of DFT.

```
Ca2CuTe
1.0
-3.092 3.092 8.155
3.092 -3.092 8.155
3.092 3.092 -8.155
Ca Cu Te
4 2 2
Cartesian
4.638 1.391 -2.039
1.391 1.546 2.039
-1.546 1.701 6.116
1.701 1.546 10.193
0.000 0.000 0.000
0.000 3.092 4.077
3.092 0.000 4.077
0.000 0.000 8.155
```

Size of the total moment: 0.0 μB/f.u.

Computed, not measured: a geometry-optimized Ca2Cu2Te structure at the PBE-GGA level of DFT.

```
Ca2Cu2Te
1.0
-2.586 2.586 4.882
2.586 -2.586 4.882
2.586 2.586 -4.882
Ca Cu Te
2 2 1
Cartesian
2.586 0.000 2.441
0.000 2.586 2.441
0.000 0.000 1.147
0.000 0.000 8.617
0.000 0.000 4.882
```

Size of the total moment: 0.0 μB/f.u.
Relative energy among the computed polymorphs: 0.237 eV/atom

Computed, not measured: a geometry-optimized CaCuTe structure at the PBE-GGA level of DFT.

```
CaCuTe
1.0
0.000 3.342 3.342
3.342 0.000 3.342
3.342 3.342 0.000
Ca Cu Te
1 1 1
Cartesian
0.000 0.000 0.000
5.013 5.013 5.013
3.342 3.342 3.342
```

Size of the total moment: 0.0 μB/f.u.
Relative energy among the computed polymorphs: 0.151 eV/atom

Computed, not measured: a geometry-optimized Ca2CuTe structure at the PBE-GGA level of DFT.

```
Ca2CuTe
1.0
-2.171 2.171 5.874
2.171 -2.171 5.874
2.171 2.171 -5.874
Ca Cu Te
2 1 1
Cartesian
0.000 0.000 0.000
0.000 2.171 2.937
2.171 0.000 2.937
0.000 0.000 5.874
```

Size of the total moment: 0.0 μB/f.u.

Computed, not measured: a geometry-optimized Ca2CuTe structure at the PBE-GGA level of DFT.

```
Ca2CuTe
1.0
4.411 0.000 0.000
0.000 4.411 0.000
0.000 0.000 6.217
Ca Cu Te
2 1 1
Cartesian
0.000 0.000 0.000
2.205 2.205 3.093
0.000 0.000 3.102
2.205 2.205 6.201
```

Size of the total moment: 0.0 μB/f.u.

Computed, not measured: a geometry-optimized CaCu2Te2 structure at the PBE-GGA level of DFT.

```
CaCu2Te2
1.0
-2.024 2.024 7.109
2.024 -2.024 7.109
2.024 2.024 -7.109
Ca Cu Te
1 2 2
Cartesian
0.000 0.000 0.000
2.024 0.000 3.554
0.000 2.024 3.554
0.000 0.000 5.313
0.000 0.000 8.905
```

Size of the total moment: 0.0 μB/f.u.
Relative energy among the computed polymorphs: 0.000 eV/atom

Computed, not measured: a geometry-optimized CaCuTeW2 structure at the PBE-GGA level of DFT.

```
CaCuTeW2
1.0
5.003 0.000 0.000
0.000 5.003 0.000
0.000 0.000 4.865
Ca Cu Te W
1 1 1 2
Cartesian
0.000 0.000 0.000
2.501 2.501 0.000
2.501 2.501 2.433
0.000 2.501 2.433
2.501 0.000 2.433
```

Size of the total moment: 0.9 μB/f.u.

Computed, not measured: a geometry-optimized CaYCuTe3 structure at the PBE-GGA level of DFT.

```
CaYCuTe3
1.0
8.608 0.000 0.000
0.000 4.250 0.000
-2.153 0.000 9.758
Ca Y Cu Te
2 2 2 6
Cartesian
1.065 1.062 2.672
5.390 3.187 7.086
1.001 3.187 8.106
5.454 1.062 1.652
-0.608 1.062 5.671
7.063 3.187 4.087
-1.169 1.062 8.299
0.975 3.187 5.072
3.229 3.187 1.511
3.226 1.062 8.247
5.480 1.062 4.686
7.624 3.187 1.460
```

Size of the total moment: 0.0 μB/f.u.

Computed, not measured: a geometry-optimized CaThCu structure at the PBE-GGA level of DFT.

```
CaThCu
1.0
-1.751 1.751 6.718
1.751 -1.751 6.718
1.751 1.751 -6.718
Ca Th Cu
1 1 1
Cartesian
0.000 0.000 0.000
0.000 0.000 3.628
0.000 0.000 8.667
```

Size of the total moment: 0.0 μB/f.u.
Formation energy from the elements: 0.036 eV/atom
Relative energy among the computed polymorphs: 0.000 eV/atom

Computed, not measured: a geometry-optimized Ca2ThCu structure at the PBE-GGA level of DFT.

```
Ca2ThCu
1.0
1.778 1.026 11.298
-1.778 1.026 11.298
0.000 -2.053 11.298
Ca Th Cu
2 1 1
Cartesian
0.000 0.000 3.571
0.000 0.000 30.324
0.000 0.000 0.000
0.000 0.000 16.947
```

Size of the total moment: 0.0 μB/f.u.
Formation energy from the elements: 0.316 eV/atom

Computed, not measured: a geometry-optimized CaTh2Cu6 structure at the PBE-GGA level of DFT.

```
CaTh2Cu6
1.0
7.449 0.000 0.000
-3.725 6.451 0.000
0.000 0.000 3.690
Ca Th Cu
1 2 6
Cartesian
0.000 0.000 0.000
0.000 4.301 0.000
3.725 2.150 0.000
-1.242 2.151 1.845
-2.482 4.300 1.845
2.484 0.000 1.845
1.242 2.151 1.845
4.965 0.000 1.845
2.482 4.300 1.845
```

Size of the total moment: 0.0 μB/f.u.
Formation energy from the elements: -0.152 eV/atom

Computed, not measured: a geometry-optimized CaThCu structure at the PBE-GGA level of DFT.

```
CaThCu
1.0
2.464 1.422 8.434
-2.464 1.422 8.434
0.000 -2.845 8.434
Ca Th Cu
2 2 2
Cartesian
0.000 0.000 3.164
0.000 0.000 22.138
0.000 0.000 9.361
0.000 0.000 15.942
0.000 0.000 6.482
0.000 0.000 18.821
```

Size of the total moment: 0.0 μB/f.u.
Formation energy from the elements: 0.191 eV/atom
Relative energy among the computed polymorphs: 0.155 eV/atom

Computed, not measured: a geometry-optimized CaThTlCu structure at the PBE-GGA level of DFT.

```
CaThTlCu
1.0
0.000 3.752 3.752
3.752 0.000 3.752
3.752 3.752 0.000
Ca Th Tl Cu
1 1 1 1
Cartesian
0.000 0.000 0.000
3.752 3.752 3.752
5.629 5.629 5.629
1.876 1.876 1.876
```

Size of the total moment: 0.0 μB/f.u.
Formation energy from the elements: -0.092 eV/atom

Computed, not measured: a geometry-optimized CaThZnCu structure at the PBE-GGA level of DFT.

```
CaThZnCu
1.0
0.000 3.611 3.611
3.611 0.000 3.611
3.611 3.611 0.000
Ca Th Zn Cu
1 1 1 1
Cartesian
0.000 0.000 0.000
3.611 3.611 3.611
5.416 5.416 5.416
1.805 1.805 1.805
```

Size of the total moment: 0.0 μB/f.u.
Formation energy from the elements: -0.098 eV/atom

Computed, not measured: a geometry-optimized CaTiCu2 structure at the PBE-GGA level of DFT.

```
CaTiCu2
1.0
-3.602 3.602 3.167
3.602 -3.602 3.167
3.602 3.602 -3.167
Ca Ti Cu
2 2 4
Cartesian
0.000 0.000 0.000
0.000 3.602 1.583
3.602 0.000 1.583
0.000 0.000 3.167
1.801 2.115 -0.792
5.089 1.801 0.792
1.801 1.487 2.375
-1.487 1.801 3.959
```

Size of the total moment: 1.3 μB/f.u.
Formation energy from the elements: 0.449 eV/atom
Relative energy among the computed polymorphs: 0.466 eV/atom

Computed, not measured: a geometry-optimized CaTi2Cu2 structure at the PBE-GGA level of DFT.

```
CaTi2Cu2
1.0
7.807 0.000 0.000
0.000 7.807 0.000
0.000 0.000 2.879
Ca Ti Cu
2 4 4
Cartesian
0.000 0.000 0.000
3.904 3.904 0.000
1.249 2.655 1.439
2.655 6.558 1.439
5.153 1.249 1.439
6.558 5.153 1.439
0.996 4.899 0.000
2.908 0.996 0.000
4.899 6.812 0.000
6.812 2.908 0.000
```

Size of the total moment: 0.0 μB/f.u.
Formation energy from the elements: 0.192 eV/atom
Relative energy among the computed polymorphs: 0.066 eV/atom

Computed, not measured: a geometry-optimized CaTi2Cu structure at the PBE-GGA level of DFT.

```
CaTi2Cu
1.0
0.000 3.331 3.331
3.331 0.000 3.331
3.331 3.331 0.000
Ca Ti Cu
1 2 1
Cartesian
0.000 0.000 0.000
1.665 1.665 1.665
4.996 4.996 4.996
3.331 3.331 3.331
```

Size of the total moment: 0.0 μB/f.u.
Formation energy from the elements: 0.587 eV/atom
Relative energy among the computed polymorphs: 0.039 eV/atom

Computed, not measured: a geometry-optimized Ca3TiCu structure at the PBE-GGA level of DFT.

```
Ca3TiCu
1.0
5.793 0.000 0.000
0.000 5.793 0.000
0.000 0.000 5.793
Ca Ti Cu
3 1 1
Cartesian
0.000 0.000 2.897
0.000 2.897 0.000
2.897 0.000 0.000
0.000 0.000 0.000
2.897 2.897 2.897
```

Size of the total moment: 4.3 μB/f.u.
Formation energy from the elements: 1.012 eV/atom
Relative energy among the computed polymorphs: 0.552 eV/atom

Computed, not measured: a geometry-optimized Ca3TiCu structure at the PBE-GGA level of DFT.

```
Ca3TiCu
1.0
5.499 0.000 0.000
0.000 5.499 0.000
0.000 0.000 5.499
Ca Ti Cu
3 1 1
Cartesian
0.000 0.000 2.750
0.000 2.750 0.000
2.750 0.000 0.000
2.750 2.750 2.750
0.000 0.000 0.000
```

Size of the total moment: 3.2 μB/f.u.
Formation energy from the elements: 0.460 eV/atom
Relative energy among the computed polymorphs: 0.000 eV/atom

Computed, not measured: a geometry-optimized CaTi2Cu2 structure at the PBE-GGA level of DFT.

```
CaTi2Cu2
1.0
7.831 0.000 0.000
0.000 7.831 0.000
0.000 0.000 2.857
Ca Ti Cu
2 4 4
Cartesian
0.000 0.000 0.000
3.915 3.915 0.000
0.922 2.994 0.000
2.994 6.909 0.000
4.837 0.922 0.000
6.909 4.837 0.000
1.373 5.288 1.428
2.543 1.373 1.428
5.288 6.458 1.428
6.458 2.543 1.428
```

Size of the total moment: 1.1 μB/f.u.
Formation energy from the elements: 0.126 eV/atom
Relative energy among the computed polymorphs: 0.000 eV/atom

Computed, not measured: a geometry-optimized Ca2TiCu2 structure at the PBE-GGA level of DFT.

```
Ca2TiCu2
1.0
8.261 0.000 0.000
0.000 8.261 0.000
0.000 0.000 3.220
Ca Ti Cu
4 2 4
Cartesian
1.197 2.934 0.000
2.934 7.064 0.000
5.327 1.197 0.000
7.064 5.327 0.000
0.000 0.000 0.000
4.131 4.131 0.000
1.287 5.417 1.610
2.844 1.287 1.610
5.417 6.974 1.610
6.974 2.844 1.610
```

Size of the total moment: 2.6 μB/f.u.
Formation energy from the elements: 0.400 eV/atom
Relative energy among the computed polymorphs: 0.270 eV/atom

Computed, not measured: a geometry-optimized CaTiCu structure at the PBE-GGA level of DFT.

```
CaTiCu
1.0
2.329 -2.335 0.000
2.329 2.335 0.000
0.000 0.000 11.682
Ca Ti Cu
2 2 2
Cartesian
0.000 0.000 1.931
0.000 0.000 9.751
2.329 0.000 4.483
2.329 0.000 7.199
0.000 0.000 5.841
2.329 0.000 0.000
```

Size of the total moment: 1.4 μB/f.u.
Formation energy from the elements: 0.213 eV/atom

Computed, not measured: a geometry-optimized CaTiCu2 structure at the PBE-GGA level of DFT.

```
CaTiCu2
1.0
0.000 3.293 3.293
3.293 0.000 3.293
3.293 3.293 0.000
Ca Ti Cu
1 1 2
Cartesian
0.000 0.000 0.000
3.293 3.293 3.293
1.646 1.646 1.646
4.939 4.939 4.939
```

Size of the total moment: 0.0 μB/f.u.
Formation energy from the elements: 0.173 eV/atom
Relative energy among the computed polymorphs: 0.191 eV/atom

Computed, not measured: a geometry-optimized CaTi2Cu structure at the PBE-GGA level of DFT.

```
CaTi2Cu
1.0
-1.933 1.933 10.683
1.933 -1.933 10.683
1.933 1.933 -10.683
Ca Ti Cu
2 4 2
Cartesian
0.000 0.000 0.000
0.000 1.933 5.342
0.966 -0.868 8.012
1.065 0.966 2.671
0.966 2.801 -2.671
0.868 0.966 13.354
1.933 0.000 5.342
0.000 0.000 10.683
```

Size of the total moment: 0.0 μB/f.u.
Formation energy from the elements: 0.547 eV/atom
Relative energy among the computed polymorphs: 0.000 eV/atom

Computed, not measured: a geometry-optimized Ca2TiCu2 structure at the PBE-GGA level of DFT.

```
Ca2TiCu2
1.0
6.956 0.000 0.000
0.000 6.956 0.000
0.000 0.000 4.583
Ca Ti Cu
4 2 4
Cartesian
1.228 2.250 0.000
2.250 5.728 0.000
4.706 1.228 0.000
5.728 4.706 0.000
0.000 0.000 2.291
3.478 3.478 2.291
0.881 4.359 2.291
2.597 0.881 2.291
4.359 6.075 2.291
6.075 2.597 2.291
```

Size of the total moment: 1.7 μB/f.u.
Formation energy from the elements: 0.130 eV/atom
Relative energy among the computed polymorphs: 0.000 eV/atom

Computed, not measured: a geometry-optimized CaTi2Cu2 structure at the PBE-GGA level of DFT.

```
CaTi2Cu2
1.0
-2.279 2.279 4.813
2.279 -2.279 4.813
2.279 2.279 -4.813
Ca Ti Cu
1 2 2
Cartesian
0.000 0.000 0.000
0.000 0.000 3.440
0.000 0.000 6.186
2.279 0.000 2.406
0.000 2.279 2.406
```

Size of the total moment: 1.7 μB/f.u.
Formation energy from the elements: 0.319 eV/atom
Relative energy among the computed polymorphs: 0.193 eV/atom

Computed, not measured: a geometry-optimized CaTiCu2 structure at the PBE-GGA level of DFT.

```
CaTiCu2
1.0
3.245 0.000 0.000
0.000 3.245 0.000
0.000 0.000 6.836
Ca Ti Cu
1 1 2
Cartesian
0.000 0.000 0.000
0.000 0.000 3.418
1.623 1.623 2.099
1.623 1.623 4.737
```

Size of the total moment: 0.4 μB/f.u.
Formation energy from the elements: -0.018 eV/atom
Relative energy among the computed polymorphs: 0.000 eV/atom

Computed DFT total energy (eV per atom) in order:
-3.153; -3.287; -3.577; -3.345; -3.449; -3.832; -5.453; -4.817; -4.470; -3.563; -4.754; -4.315; -4.063; -3.796; -4.074; -5.005; -4.885; -2.587; -3.139; -5.071; -3.618; -4.451; -4.349; -4.925; -3.888; -4.878; -4.540